# 1
## Al2CrIn (PBE)

Data for an optimized crystal structure of Al2CrIn.

Summary:
uncorrected energy = -4.76 eV per atom

Unit cell a=3.3459 b=3.3459 c=6.0927 alpha=90.00 beta=90.00 gamma=90.00
With the nearest neighbours (Å) after each atom.
Element x y z (fractional)
1 Al 0.0000 0.0000 0.0000  1 Cr 2.66, 4 Al 2.77, 4 In 2.93
2 Al 0.5000 0.5000 0.2371  4 Cr 2.66, 4 Al 2.77, 1 In 2.92
3 Cr 0.0000 0.0000 0.4362  5 Al 2.66, 4 In 2.92
4 In 0.5000 0.5000 0.7157  4 Cr 2.92, 6 Al 2.92-3.18

***

# 2
## Al2CrIn (PBE)

Data for an optimized crystal structure of Al2CrIn.

Summary:
uncorrected energy = -4.64 eV per atom

Unit cell a=4.6915 b=4.6915 c=4.6915 alpha=60.00 beta=60.00 gamma=60.00
With the nearest neighbours (Å) after each atom.
Element x y z (fractional)
1 Al 0.0000 0.0000 0.0000  4 Cr 2.87, 4 Al 2.87
2 Al 0.2500 0.2500 0.2500  4 In 2.87, 4 Al 2.87
3 Cr 0.7500 0.7500 0.7500  4 Al 2.87, 4 In 2.87
4 In 0.5000 0.5000 0.5000  4 Cr 2.87, 4 Al 2.87

***

# 3
## Al2CrIn (PBE)

Data for an optimized crystal structure of Al2CrIn.

Summary:
uncorrected energy = -4.79 eV per atom

Unit cell a=4.9740 b=4.9740 c=4.8391 alpha=101.75 beta=101.75 gamma=35.67
With the nearest neighbours (Å) after each atom.
Element x y z (fractional)
1 Al 0.2338 0.2338 0.2159  2 Al 2.66, 3 Cr 2.71-2.93, 1 In 2.85
2 Al 0.7662 0.7662 0.7841  2 Al 2.66, 3 Cr 2.71-2.93, 1 In 2.85
3 Cr 0.5000 0.5000 0.0000  6 Al 2.71-2.93, 4 In 2.86
4 In 0.0000 0.0000 0.5000  6 Al 2.85-3.01, 4 Cr 2.86, 2 In 3.05

***

# 4
## AlCr3In (PBE)

Data for an optimized crystal structure of AlCr3In.

Summary:
E above lowest polymorph = 484.3 meV per atom

Unit cell a=5.0546 b=5.0546 c=5.0546 alpha=90.00 beta=90.00 gamma=90.00
With the nearest neighbours (Å) after each atom.
Element x y z (fractional)
1 Al 0.0000 0.0000 0.0000  12 Cr 3.57
2 Cr 0.0000 0.5000 0.5000  2 In 2.53
3 Cr 0.5000 0.0000 0.5000  2 In 2.53
4 Cr 0.5000 0.5000 0.0000  2 In 2.53
5 In 0.5000 0.5000 0.5000  6 Cr 2.53

***

# 5
## AlCrIn3 (PBE)

Data for an optimized crystal structure of AlCrIn3.

Summary:
E above lowest polymorph = 157.9 meV per atom

Unit cell a=5.2984 b=5.2984 c=5.2984 alpha=90.00 beta=90.00 gamma=90.00
With the nearest neighbours (Å) after each atom.
Element x y z (fractional)
1 Al 0.0000 0.0000 0.0000  6 In 2.65
2 Cr 0.5000 0.5000 0.5000  12 In 3.75
3 In 0.0000 0.0000 0.5000  2 Al 2.65
4 In 0.0000 0.5000 0.0000  2 Al 2.65
5 In 0.5000 0.0000 0.0000  2 Al 2.65

***

# 6
## AlCrIn3 (PBE)

Data for an optimized crystal structure of AlCrIn3.

Summary:
E above lowest polymorph = 0.0 meV per atom

Unit cell a=5.1708 b=5.1708 c=5.1708 alpha=90.00 beta=90.00 gamma=90.00
With the nearest neighbours (Å) after each atom.
Element x y z (fractional)
1 Al 0.0000 0.0000 0.0000  12 In 3.66
2 Cr 0.5000 0.5000 0.5000  6 In 2.59
3 In 0.0000 0.5000 0.5000  2 Cr 2.59
4 In 0.5000 0.0000 0.5000  2 Cr 2.59
5 In 0.5000 0.5000 0.0000  2 Cr 2.59

***

# 7
## Al2CrIn (PBE)

Data for an optimized crystal structure of Al2CrIn.

Summary:
uncorrected energy = -4.86 eV per atom

Unit cell a=2.9669 b=2.9669 c=8.1872 alpha=90.00 beta=90.00 gamma=90.00
With the nearest neighbours (Å) after each atom.
Element x y z (fractional)
1 Al 0.0000 0.0000 0.1911  4 Cr 2.62
2 Al 0.0000 0.0000 0.8089  4 Cr 2.62
3 Cr 0.5000 0.5000 0.0000  8 Al 2.62
4 In 0.5000 0.5000 0.5000  4 In 2.97, 8 Al 3.29

***

# 8
## Al2CrIn (PBE)

Data for an optimized crystal structure of Al2CrIn.

Summary:
uncorrected energy = -4.82 eV per atom

Unit cell a=4.0869 b=4.0869 c=4.0390 alpha=90.00 beta=90.00 gamma=90.00
With the nearest neighbours (Å) after each atom.
Element x y z (fractional)
1 Al 0.0000 0.5000 0.0000  4 Cr 2.87, 4 In 2.87, 4 Al 2.89
2 Al 0.5000 0.0000 0.0000  4 Cr 2.87, 4 In 2.87, 4 Al 2.89
3 Cr 0.0000 0.0000 0.5000  8 Al 2.87, 4 In 2.89
4 In 0.5000 0.5000 0.5000  8 Al 2.87, 4 Cr 2.89

***

# 9
## Al2CrIn (PBE)

Data for an optimized crystal structure of Al2CrIn.

Summary:
uncorrected energy = -4.72 eV per atom

Unit cell a=9.1571 b=9.1571 c=9.1571 alpha=18.78 beta=18.78 gamma=18.78
With the nearest neighbours (Å) after each atom.
Element x y z (fractional)
1 Al 0.0000 0.0000 0.0000  9 Al 2.86-2.99, 3 In 3.04
2 Al 0.2489 0.2489 0.2489  3 Cr 2.60, 3 Al 2.86
3 Cr 0.5099 0.5099 0.5099  3 Al 2.60, 3 In 2.84
4 In 0.7596 0.7596 0.7596  3 Cr 2.84, 6 In 2.99, 3 Al 3.04

***

# 10
## AlCrInPd2 (PBE)

Data for an optimized crystal structure of AlCrInPd2.

Summary:
uncorrected energy = -4.63 eV per atom

Unit cell a=4.6404 b=4.6404 c=4.6867 alpha=90.00 beta=90.00 gamma=90.00
With the nearest neighbours (Å) after each atom.
Element x y z (fractional)
1 Al 0.0000 0.0000 0.0000  2 Cr 2.34
2 Cr 0.0000 0.0000 0.5000  4 Pd 2.32, 2 Al 2.34
3 In 0.5000 0.5000 0.0000  4 Al 3.28, 8 Pd 3.30
4 Pd 0.0000 0.5000 0.5000  2 Cr 2.32
5 Pd 0.5000 0.0000 0.5000  2 Cr 2.32

***

# 11
## Rb2AlCrIn (PBE)

Data for an optimized crystal structure of Rb2AlCrIn.

Summary:
uncorrected energy = -2.70 eV per atom

Unit cell a=6.9006 b=6.9006 c=5.3398 alpha=90.00 beta=90.00 gamma=90.00
With the nearest neighbours (Å) after each atom.
Element x y z (fractional)
1 Rb 0.0000 0.5000 0.0000  2 In 3.45
2 Rb 0.5000 0.0000 0.0000  2 In 3.45
3 Al 0.0000 0.0000 0.5000  8 Rb 4.36, 4 Cr 4.88
4 Cr 0.5000 0.5000 0.5000  2 In 2.67
5 In 0.5000 0.5000 0.0000  2 Cr 2.67

***

# 12
## AlCrInS4 (PBE)

Data for an optimized crystal structure of AlCrInS4.

Summary:
raw formation energy = -0.673 eV/atom

Unit cell a=7.3585 b=7.3585 c=7.3585 alpha=120.15 beta=119.60 gamma=90.21
With the nearest neighbours (Å) after each atom.
Element x y z (fractional)
1 Al 0.3783 0.1283 0.2500  4 S 2.31-2.32
2 Al 0.6217 0.8717 0.7500  4 S 2.31-2.32
3 Cr 0.0000 0.0000 0.5000  6 S 2.48-2.52
4 Cr 0.0000 0.5000 0.0000  6 S 2.48-2.52
5 In 0.0000 0.5000 0.5000  6 S 2.63-2.64
6 In 0.5000 0.5000 0.0000  6 S 2.63-2.64
7 S 0.2301 0.2462 0.9839  1 Al 2.32, 2 Cr 2.52
8 S 0.2377 0.7538 0.4839  1 Al 2.32, 2 Cr 2.52
9 S 0.2385 0.2341 0.4955  1 Al 2.31, 1 Cr 2.48
10 S 0.2385 0.7430 0.0045  1 Al 2.31, 1 Cr 2.48
11 S 0.7615 0.2570 0.9955  1 Al 2.31, 1 Cr 2.48
12 S 0.7615 0.7659 0.5045  1 Al 2.31, 1 Cr 2.48
13 S 0.7623 0.2462 0.5161  1 Al 2.32, 2 Cr 2.52
14 S 0.7699 0.7538 0.0161  1 Al 2.32, 2 Cr 2.52

***

Number 1: DOS at the Fermi energy 0.6515 states/eV/atom. Number 2: DOS at the Fermi energy 0.6563 states/eV/atom. Number 3: DOS at the Fermi energy 0.5909 states/eV/atom. Number 4: DOS at the Fermi energy 1.3604 states/eV/atom. Number 5: DOS at the Fermi energy 0.5532 states/eV/atom. Number 6: DOS at the Fermi energy 1.0343 states/eV/atom. Number 7: DOS at the Fermi energy 0.4290 states/eV/atom. Number 8: DOS at the Fermi energy 0.4894 states/eV/atom. Number 9: DOS at the Fermi energy 0.3707 states/eV/atom. Number 10: DOS at the Fermi energy 1.0071 states/eV/atom. Number 11: DOS at the Fermi energy 1.1476 states/eV/atom. Number 12: DOS at the Fermi energy 0.2928 states/eV/atom.